# 1
Crystalline Ce3H12Ru5 at its relaxed geometry. Source: Alexandria, functional PBE.

Computed properties:
final energy = -5.417 eV per atom
space-group type = No. 230
volume = 792.55 Å³ per cell

a b c (Å): 10.0976 10.0976 10.0976
angles (deg): 109.47 109.47 109.47
Last column: nearest neighbours and their distance in Å.
Positions (direct):
Ce: 0.1250 0.2500 0.3750  8 H 2.34-2.40
Ce: 0.1250 0.3750 0.7500  8 H 2.34-2.40
Ce: 0.2500 0.3750 0.1250  8 H 2.34-2.40
Ce: 0.2500 0.8750 0.6250  8 H 2.34-2.40
Ce: 0.3750 0.1250 0.2500  8 H 2.34-2.40
Ce: 0.3750 0.7500 0.1250  8 H 2.34-2.40
Ce: 0.6250 0.2500 0.8750  8 H 2.34-2.40
Ce: 0.6250 0.8750 0.7500  8 H 2.34-2.40
Ce: 0.7500 0.1250 0.3750  8 H 2.34-2.40
Ce: 0.7500 0.6250 0.8750  8 H 2.34-2.40
Ce: 0.8750 0.6250 0.2500  8 H 2.34-2.40
Ce: 0.8750 0.7500 0.6250  8 H 2.34-2.40
H: 0.0148 0.1902 0.0986  2 Ru 1.77
H: 0.0148 0.3246 0.9162  2 Ru 1.77
H: 0.0838 0.5986 0.4084  2 Ru 1.77
H: 0.0838 0.9852 0.6754  2 Ru 1.77
H: 0.0916 0.6902 0.6754  2 Ru 1.77
H: 0.0916 0.9014 0.4162  2 Ru 1.77
H: 0.0986 0.0148 0.1902  2 Ru 1.77
H: 0.0986 0.5838 0.9084  2 Ru 1.77
H: 0.1754 0.1902 0.5916  2 Ru 1.77
H: 0.1754 0.4852 0.5838  2 Ru 1.77
H: 0.1902 0.0986 0.0148  2 Ru 1.77
H: 0.1902 0.5916 0.1754  2 Ru 1.77
H: 0.3098 0.3246 0.9084  2 Ru 1.77
H: 0.3098 0.4852 0.4014  2 Ru 1.77
H: 0.3246 0.9084 0.3098  2 Ru 1.77
H: 0.3246 0.9162 0.0148  2 Ru 1.77
H: 0.4014 0.3098 0.4852  2 Ru 1.77
H: 0.4014 0.5916 0.9162  2 Ru 1.77
H: 0.4084 0.0838 0.5986  2 Ru 1.77
H: 0.4084 0.8246 0.8098  2 Ru 1.77
H: 0.4162 0.0916 0.9014  2 Ru 1.77
H: 0.4162 0.8246 0.5148  2 Ru 1.77
H: 0.4852 0.4014 0.3098  2 Ru 1.77
H: 0.4852 0.5838 0.1754  2 Ru 1.77
H: 0.5148 0.4162 0.8246  2 Ru 1.77
H: 0.5148 0.5986 0.6902  2 Ru 1.77
H: 0.5838 0.1754 0.4852  2 Ru 1.77
H: 0.5838 0.9084 0.0986  2 Ru 1.77
H: 0.5916 0.1754 0.1902  2 Ru 1.77
H: 0.5916 0.9162 0.4014  2 Ru 1.77
H: 0.5986 0.4084 0.0838  2 Ru 1.77
H: 0.5986 0.6902 0.5148  2 Ru 1.77
H: 0.6754 0.0838 0.9852  2 Ru 1.77
H: 0.6754 0.0916 0.6902  2 Ru 1.77
H: 0.6902 0.5148 0.5986  2 Ru 1.77
H: 0.6902 0.6754 0.0916  2 Ru 1.77
H: 0.8098 0.4084 0.8246  2 Ru 1.77
H: 0.8098 0.9014 0.9852  2 Ru 1.77
H: 0.8246 0.5148 0.4162  2 Ru 1.77
H: 0.8246 0.8098 0.4084  2 Ru 1.77
H: 0.9014 0.4162 0.0916  2 Ru 1.77
H: 0.9014 0.9852 0.8098  2 Ru 1.77
H: 0.9084 0.0986 0.5838  2 Ru 1.77
H: 0.9084 0.3098 0.3246  2 Ru 1.77
H: 0.9162 0.0148 0.3246  2 Ru 1.77
H: 0.9162 0.4014 0.5916  2 Ru 1.77
H: 0.9852 0.6754 0.0838  2 Ru 1.77
H: 0.9852 0.8098 0.9014  2 Ru 1.77
Ru: 0.0000 0.0000 0.0000  6 H 1.77
Ru: 0.0000 0.0000 0.5000  6 H 1.77
Ru: 0.0000 0.5000 0.0000  6 H 1.77
Ru: 0.0000 0.5000 0.5000  6 H 1.77
Ru: 0.1250 0.7500 0.8750  4 H 1.77
Ru: 0.1250 0.8750 0.2500  4 H 1.77
Ru: 0.2500 0.1250 0.8750  4 H 1.77
Ru: 0.2500 0.6250 0.3750  4 H 1.77
Ru: 0.3750 0.2500 0.6250  4 H 1.77
Ru: 0.3750 0.6250 0.7500  4 H 1.77
Ru: 0.5000 0.0000 0.0000  6 H 1.77
Ru: 0.5000 0.0000 0.5000  6 H 1.77
Ru: 0.5000 0.5000 0.0000  6 H 1.77
Ru: 0.5000 0.5000 0.5000  6 H 1.77
Ru: 0.6250 0.3750 0.2500  4 H 1.77
Ru: 0.6250 0.7500 0.3750  4 H 1.77
Ru: 0.7500 0.3750 0.6250  4 H 1.77
Ru: 0.7500 0.8750 0.1250  4 H 1.77
Ru: 0.8750 0.1250 0.7500  4 H 1.77
Ru: 0.8750 0.2500 0.1250  4 H 1.77

# 2
Crystalline Ce2H7Ru2 at its relaxed geometry. Source: Alexandria, functional PBE.

Computed properties:
final energy = -5.200 eV per atom
space-group type = No. 71
volume = 118.86 Å³ per cell

a b c (Å): 6.1375 6.1375 6.1375
angles (deg): 144.72 114.59 76.56
Last column: nearest neighbours and their distance in Å.
Positions (direct):
Ce: 0.1754 0.1754 0.0000  10 H 2.26-2.51
Ce: 0.8246 0.8246 0.0000  10 H 2.26-2.51
H: 0.0000 0.5000 0.5000  2 Ru 1.83
H: 0.0587 0.3232 0.7355  1 Ru 1.72
H: 0.2740 0.0000 0.2740  2 Ru 1.86
H: 0.4122 0.6768 0.7355  1 Ru 1.72
H: 0.5878 0.3232 0.2645  1 Ru 1.72
H: 0.7260 0.0000 0.7260  2 Ru 1.86
H: 0.9413 0.6768 0.2645  1 Ru 1.72
Ru: 0.2754 0.5000 0.7754  5 H 1.72-1.86
Ru: 0.7246 0.5000 0.2246  5 H 1.72-1.86

# 3
Crystalline CeH5Ru at its relaxed geometry. Source: Alexandria, functional PBE.

Computed properties:
final energy = -4.940 eV per atom
space-group type = No. 71
volume = 123.52 Å³ per cell

a b c (Å): 3.7711 4.8687 6.7277
angles (deg): 90.00 90.00 90.00
Last column: nearest neighbours and their distance in Å.
Positions (direct):
Ce: 0.0000 0.0000 0.0000  14 H 2.43-2.56
Ce: 0.5000 0.5000 0.5000  14 H 2.43-2.56
H: 0.0000 0.2602 0.3302  1 Ru 1.71
H: 0.0000 0.2602 0.6698  1 Ru 1.71
H: 0.0000 0.5000 0.0000  2 Ru 1.89
H: 0.0000 0.7398 0.3302  1 Ru 1.71
H: 0.0000 0.7398 0.6698  1 Ru 1.71
H: 0.5000 0.0000 0.5000  2 Ru 1.89
H: 0.5000 0.2398 0.1698  1 Ru 1.71
H: 0.5000 0.2398 0.8302  1 Ru 1.71
H: 0.5000 0.7602 0.1698  1 Ru 1.71
H: 0.5000 0.7602 0.8302  1 Ru 1.71
Ru: 0.0000 0.0000 0.5000  6 H 1.71-1.89
Ru: 0.5000 0.5000 0.0000  6 H 1.71-1.89

# 4
Crystalline Ce4HRu2 at its relaxed geometry. Source: Alexandria, functional PBE.

Computed properties:
energy above the lowest structure with this stoichiometry = 0.026 eV per formula unit
space-group type = No. 141
volume = 335.71 Å³ per cell

a b c (Å): 7.7976 7.7976 7.7976
angles (deg): 119.91 119.91 90.15
Last column: nearest neighbours and their distance in Å.
Positions (direct):
Ce: 0.2496 0.7487 0.5010  1 H 2.37
Ce: 0.2513 0.2523 0.5010  1 H 2.37
Ce: 0.2513 0.7504 0.9990  1 H 2.37
Ce: 0.2523 0.2513 0.0010  1 H 2.37
Ce: 0.7477 0.7487 0.9990  1 H 2.37
Ce: 0.7487 0.2496 0.0010  1 H 2.37
Ce: 0.7487 0.7477 0.4990  1 H 2.37
Ce: 0.7504 0.2513 0.4990  1 H 2.37
H: 0.3750 0.6250 0.7500  4 Ce 2.37
H: 0.6250 0.3750 0.2500  4 Ce 2.37
Ru: 0.0000 0.0000 0.0000  6 Ce 2.77
Ru: 0.0000 0.0000 0.5000  6 Ce 2.77
Ru: 0.0000 0.5000 0.0000  6 Ce 2.77
Ru: 0.5000 0.0000 0.5000  6 Ce 2.77

# 5
Crystalline Ce2H8Ru3 at its relaxed geometry. Source: Alexandria, functional PBE.

Computed properties:
final energy = -5.385 eV per atom
space-group type = No. 12
volume = 129.40 Å³ per cell

a b c (Å): 5.6943 5.6943 4.9933
angles (deg): 109.38 109.38 59.91
Last column: nearest neighbours and their distance in Å.
Positions (direct):
Ce: 0.1838 0.1838 0.1901  6 H 2.29-2.43
Ce: 0.8162 0.8162 0.8099  6 H 2.29-2.43
H: 0.1186 0.1186 0.6058  2 Ru 1.82
H: 0.2003 0.5790 0.1233  2 Ru 1.80
H: 0.3940 0.3940 0.6206  3 Ru 1.78-1.97
H: 0.4210 0.7997 0.8767  2 Ru 1.80
H: 0.5790 0.2003 0.1233  2 Ru 1.80
H: 0.6060 0.6060 0.3794  3 Ru 1.78-1.97
H: 0.7997 0.4210 0.8767  2 Ru 1.80
H: 0.8814 0.8814 0.3942  2 Ru 1.82
Ru: 0.2561 0.7439 0.5000  6 H 1.80-1.97
Ru: 0.5000 0.5000 0.0000  6 H 1.78-1.80
Ru: 0.7439 0.2561 0.5000  6 H 1.80-1.97

# 6
Crystalline CeH7Ru2 at its relaxed geometry. Source: Alexandria, functional PBE.

Computed properties:
final energy = -4.986 eV per atom
space-group type = No. 65
volume = 83.76 Å³ per cell

a b c (Å): 5.3142 5.3142 3.4368
angles (deg): 90.00 90.00 120.35
Last column: nearest neighbours and their distance in Å.
Positions (direct):
Ce: 0.0000 0.0000 0.0000  8 H 2.39
H: 0.0295 0.3253 0.5000  2 Ru 1.74-1.82, 1 H 1.88
H: 0.3253 0.0295 0.5000  2 Ru 1.74-1.82, 1 H 1.88
H: 0.3545 0.6455 0.0000  2 Ru 1.75
H: 0.5000 0.5000 0.5000  2 Ru 1.69
H: 0.6455 0.3545 0.0000  2 Ru 1.75
H: 0.6747 0.9705 0.5000  2 Ru 1.74-1.82, 1 H 1.88
H: 0.9705 0.6747 0.5000  2 Ru 1.74-1.82, 1 H 1.88
Ru: 0.3165 0.6835 0.5000  7 H 1.69-1.82
Ru: 0.6835 0.3165 0.5000  7 H 1.69-1.82